A plane-wave DFT calculation with PBE was carried out for a relaxed Ce2AsRh3 crystal.

Cell: 8.6574 8.4016 5.7232 Å, 72.83 68.00 39.17°
Last column: nearest neighbours and their distance in Å.
Element x y z (fractional)
Ce 0.2466 0.7534 0.7534  10 Rh 3.08-3.19, 2 As 3.14
Ce 0.2500 0.2500 0.2500  8 Rh 3.10-3.11, 4 As 3.11
Ce 0.7500 0.7500 0.7500  8 Rh 3.10-3.11, 4 As 3.11
Ce 0.7534 0.2466 0.2466  10 Rh 3.08-3.19, 2 As 3.14
As 0.1683 0.1683 0.8317  3 Rh 2.43-2.44
As 0.8317 0.8317 0.1683  3 Rh 2.43-2.44
Rh 0.1575 0.6718 0.3282  1 As 2.44, 2 Rh 2.55-2.56
Rh 0.3282 0.8425 0.1575  1 As 2.44, 2 Rh 2.55-2.56
Rh 0.3301 0.3301 0.6699  1 As 2.43, 2 Rh 2.55
Rh 0.6699 0.6699 0.3301  1 As 2.43, 2 Rh 2.55
Rh 0.6718 0.1575 0.8425  1 As 2.44, 2 Rh 2.55-2.56
Rh 0.8425 0.3282 0.6718  1 As 2.44, 2 Rh 2.55-2.56

## Properties
**M_tot**: 0.12 μB/f.u.
**Energy above the most stable polymorph in this dataset**: 112 meV per atom
**Uncorrected energy**: -7.20 eV per atom